Compound: PrNdTe2O
Source: Alexandria via LeMat-Bulk
Functional: GGA-PBE
Structure: optimized geometry

```
10
Lattice="4.2827 0.0000 0.0000 0.0000 4.2827 0.0000 0.0000 0.0000 16.2698" Properties=species:S:1:pos:R:3 pbc="T T T"
Pr 1.0707 1.0707 1.1090
Pr 3.2121 3.2121 15.1608
Nd 1.0707 1.0707 10.3299
Nd 3.2121 3.2121 5.9399
Te 1.0707 1.0707 6.7865
Te 1.0707 1.0707 13.2797
Te 3.2121 3.2121 2.9901
Te 3.2121 3.2121 9.4833
O 1.0707 3.2121 0.0000
O 3.2121 1.0707 0.0000
```

Results
Its uncorrected energy is -6.21 eV/atom. As for the space group: P4/nmm. The energy relative to the elements, uncorrected comes out at -2053.2 meV per atom. The density of states at the Fermi level comes out at 0.314 states/eV per atom.

Compound: PrNd12Tl4O3
Source: Alexandria via LeMat-Bulk
Functional: GGA-PBE
Structure: optimized geometry

```
20
Lattice="-5.1546 5.1546 5.1546 5.1546 -5.1546 5.1546 5.1546 5.1546 -5.1546" Properties=species:S:1:pos:R:3 pbc="T T T"
Pr 0.0000 0.0000 0.0000
Nd 2.8200 0.0000 0.0000
Nd 7.4892 0.0000 0.0000
Nd 5.1546 2.5773 0.0000
Nd 5.1546 0.0000 2.5773
Nd 0.0000 2.8200 0.0000
Nd 0.0000 0.0000 2.8200
Nd 2.5773 5.1546 0.0000
Nd 2.5773 0.0000 5.1546
Nd 0.0000 7.4892 0.0000
Nd 0.0000 0.0000 7.4892
Nd 0.0000 5.1546 2.5773
Nd 0.0000 2.5773 5.1546
Tl 2.5773 2.5773 -2.5773
Tl 2.5773 -2.5773 2.5773
Tl -2.5773 2.5773 2.5773
Tl 2.5773 2.5773 2.5773
O 5.1546 0.0000 0.0000
O 0.0000 5.1546 0.0000
O 0.0000 0.0000 5.1546
```

Results
Its uncorrected energy is -5.06 eV/atom. As for the space group: Im-3m. The energy relative to the elements, uncorrected comes out at -739.7 meV per atom. The density of states at the Fermi level comes out at 1.015 states/eV per atom.